Record 1
DFT (PBE) results for a geometry-optimized MgZrIn6 structure.

a b c (Å): 4.466 6.504 6.504
angles (deg): 90.02 90.00 90.00
Sites, in units of the cell vectors:
In: 0.000 0.749 0.251
In: 0.500 0.500 0.000
In: 0.500 0.000 0.500
In: 0.000 0.251 0.749
In: 0.000 0.251 0.251
In: 0.000 0.749 0.749
Zr: 0.500 0.000 0.000
Mg: 0.500 0.500 0.500

Results
The formation energy comes out at -0.086 eV/atom. The value obtained for the spin magnetization is 0.0 μB/cell.

=====

Record 2
DFT (PBE) results for a geometry-optimized MgZrIn structure.

a b c (Å): 3.761 3.761 9.688
angles (deg): 90.00 90.00 90.00
Sites, in units of the cell vectors:
In: 0.250 0.250 0.248
In: 0.750 0.750 0.752
Zr: 0.250 0.250 0.578
Zr: 0.750 0.750 0.422
Mg: 0.250 0.250 0.914
Mg: 0.750 0.750 0.086

Results
The formation energy comes out at -0.110 eV/atom. The value obtained for the spin magnetization is 0.0 μB/cell.

=====

Record 3
DFT (PBE) results for a geometry-optimized MgZr6In structure.

a b c (Å): 7.999 7.999 5.653
angles (deg): 44.99 45.01 60.00
Sites, in units of the cell vectors:
Zr: 0.750 0.000 0.750
Zr: 0.999 0.501 0.250
Zr: 0.250 0.000 0.250
Zr: 0.500 0.250 0.250
Zr: 0.001 0.499 0.750
Zr: 0.500 0.750 0.750
Mg: 0.000 0.000 0.000
In: 0.500 0.500 0.500

Results
The formation energy comes out at -0.081 eV/atom. The distance to the lowest polymorph of the same formula comes out at 3.4 kJ/mol of atoms. The value obtained for the spin magnetization is 0.0 μB/cell.

=====

Record 4
DFT (PBE) results for a geometry-optimized Mg2ZrIn structure.

a b c (Å): 5.774 5.774 5.774
angles (deg): 136.33 136.33 63.47
Each line ends with the local moment (μB).
Sites, in units of the cell vectors:
Mg: 0.000 0.000 0.000  0.01
Mg: 0.500 0.500 0.000  0.01
In: 0.750 0.250 0.500  0.00
Zr: 0.250 0.750 0.500  0.31

Results
The formation energy comes out at -0.036 eV/atom. The value obtained for the spin magnetization is 0.7 μB/cell.

=====

Record 5
DFT (PBE) results for a geometry-optimized MgZr6In structure.

a b c (Å): 4.479 4.479 8.955
angles (deg): 90.00 90.00 90.00
Sites, in units of the cell vectors:
Zr: 0.500 0.000 0.750
Zr: 0.500 0.000 0.250
Zr: 0.500 0.500 0.500
Zr: 0.000 0.500 0.750
Zr: 0.000 0.500 0.250
Zr: 0.500 0.500 0.000
In: 0.000 0.000 0.000
Mg: 0.000 0.000 0.500

Results
The formation energy comes out at -0.116 eV/atom. The distance to the lowest polymorph of the same formula comes out at 0.0 kJ/mol of atoms. The value obtained for the spin magnetization is 0.0 μB/cell.

=====

Record 6
DFT (PBE) results for a geometry-optimized Mg3ZrIn structure.

a b c (Å): 5.161 5.161 5.161
angles (deg): 90.00 90.00 90.00
Each line ends with the local moment (μB).
Sites, in units of the cell vectors:
In: 0.000 0.000 0.000  0.00
Mg: 0.500 0.000 0.000  0.00
Mg: 0.000 0.500 0.000  0.00
Mg: 0.000 0.000 0.500  0.00
Zr: 0.500 0.500 0.500  0.23

Results
The formation energy comes out at 0.722 eV/atom. The distance to the lowest polymorph of the same formula comes out at 0.0 kJ/mol of atoms. The value obtained for the spin magnetization is 0.4 μB/cell.

=====

Record 7
DFT (PBE) results for a geometry-optimized Mg2ZrIn structure.

a b c (Å): 4.363 4.363 4.545
angles (deg): 90.00 90.00 90.00
Sites, in units of the cell vectors:
Mg: 0.000 0.000 0.000
Mg: 0.500 0.500 0.000
In: 0.000 0.500 0.500
Zr: 0.500 0.000 0.500

Results
The formation energy comes out at -0.209 eV/atom. The value obtained for the spin magnetization is 0.0 μB/cell.

=====

Record 8
DFT (PBE) results for a geometry-optimized Mg3ZrIn structure.

a b c (Å): 5.670 5.670 5.670
angles (deg): 90.00 90.00 90.00
Each line ends with the local moment (μB).
Sites, in units of the cell vectors:
Mg: 0.000 0.000 0.500  0.01
Mg: 0.000 0.500 0.000  0.04
Mg: 0.500 0.000 0.000  0.08
Zr: 0.000 0.000 0.000  1.51
In: 0.500 0.500 0.500  0.06

Results
The formation energy comes out at 1.017 eV/atom. The distance to the lowest polymorph of the same formula comes out at 28.4 kJ/mol of atoms. The value obtained for the spin magnetization is 3.5 μB/cell.

=====

The records above yield calculated total energy values of -27.3; -26.4; -56.3; -14.6; -56.6; -12.5; -15.3; -11.0 eV for the cell shown, respectively.